1.
CsKAsAu | OQMD | PBE-GGA | relaxed; offset from the most stable computed form = 14 meV per atom
1.0
-0.959 -6.456 -1.483
2.762 -1.736 5.774
-6.519 0.748 0.963
Au As Cs K
2 2 2 2
Direct
0.753 0.505 0.505
0.247 0.505 0.505
0.500 0.746 0.746
0.000 0.258 0.258
0.500 0.323 0.977
0.500 0.977 0.323
0.000 0.014 0.671
0.000 0.671 0.014


2.
TbPrHf | OQMD | PBE-GGA | relaxed; M_tot = 1.459 μB per formula unit; offset from the most stable computed form = 0 meV per atom; ΔH_f (0 K) = 0.8446 eV/atom
1.0
0.455 3.546 3.844
-0.726 5.096 -1.030
-4.265 2.463 1.817
Hf Pr Tb
1 1 1
Direct
0.000 0.000 0.000
0.250 0.250 0.250
0.750 0.750 0.750


3.
KHf8 | OQMD | PBE-GGA | relaxed; M_tot = 0.007 μB per formula unit; final energy = -150.32 eV/cell
1.0
-1.522 -5.297 10.176
-5.302 0.124 9.920
-4.666 -4.648 -0.604
Hf K
16 2
Direct
0.450 0.331 0.319
0.931 0.349 0.800
0.708 0.703 0.527
0.547 0.542 0.187
0.319 0.901 0.450
0.063 0.527 0.703
0.901 0.319 0.331
0.349 0.931 0.919
0.703 0.708 0.063
0.331 0.450 0.901
0.187 0.723 0.547
0.542 0.547 0.723
0.919 0.800 0.349
0.527 0.063 0.708
0.800 0.919 0.931
0.723 0.187 0.542
0.250 0.250 0.250
0.000 0.000 0.000


4.
Cu7Ag3 | OQMD | PBE-GGA | relaxed; offset from the most stable computed form = 15 meV per atom; ΔH_f (0 K) = 0.0601 eV/atom
1.0
-2.332 -1.128 1.024
-0.901 -0.488 -2.590
7.763 -15.791 0.275
Cu Ag
7 3
Direct
0.500 0.500 0.494
0.500 0.500 0.319
0.000 0.000 0.978
0.500 0.500 0.890
0.000 0.000 0.406
0.000 0.000 0.801
0.500 0.500 0.712
0.500 0.500 0.086
0.000 0.000 0.603
0.000 0.000 0.211


5.
W4AuN3 | OQMD | PBE-GGA | relaxed; M_tot = 0.002 μB per formula unit; final energy = -157.35 eV/cell
1.0
2.829 0.000 0.000
-1.414 2.450 0.000
0.000 0.000 27.254
W Au N
8 2 6
Direct
0.000 0.000 0.162
0.333 0.667 0.054
0.000 0.000 0.338
0.667 0.333 0.946
0.667 0.333 0.554
0.000 0.000 0.662
0.333 0.667 0.446
0.000 0.000 0.838
0.667 0.333 0.750
0.333 0.667 0.250
0.333 0.667 0.610
0.000 0.000 0.500
0.667 0.333 0.390
0.000 0.000 0.000
0.333 0.667 0.890
0.667 0.333 0.110


6.
Sm2Si2BrCl | OQMD | PBE-GGA | relaxed; M_tot = 0.007 μB per formula unit; final energy = -31.71 eV/cell
1.0
4.076 0.000 0.000
-2.038 3.530 0.000
0.000 0.000 11.089
Br Si Sm Cl
1 2 2 1
Direct
0.000 0.000 0.157
0.667 0.333 0.495
0.000 0.000 0.511
0.333 0.667 0.681
0.333 0.667 0.325
0.667 0.333 0.831